# CeSmGaGe (PBE, optimized geometry)
# - energy relative to the elements (kJ per mole of atoms) = -53
data_CeSmGaGe
_cell_length_a 7.2941
_cell_length_b 7.2941
_cell_length_c 7.2941
_cell_angle_alpha 90.00
_cell_angle_beta 90.00
_cell_angle_gamma 90.00
_symmetry_space_group_name_H-M 'F -4 3 m'
_symmetry_Int_Tables_number 216
_symmetry_space_group_name_Hall 'F -4 2 3'
loop_
_atom_site_label
_atom_site_fract_x
_atom_site_fract_y
_atom_site_fract_z
_atom_site_occupancy
Ce1 0.0000 0.0000 0.0000 1
Sm1 0.0000 0.0000 0.5000 1
Ga1 0.2500 0.2500 0.7500 1
Ge1 0.2500 0.2500 0.2500 1